No. 1
A geometry-optimized Ac3Si2NiPt9 structure, computed with PBE-GGA.

```
Ac3Si2NiPt9
1.0
6.410 0.000 0.000
-3.205 5.551 0.000
0.000 0.000 8.980
Ac Si Ni Pt
3 2 1 9
Cartesian
0.000 0.000 0.000 Ac
0.000 3.701 5.755 Ac
3.205 1.850 3.225 Ac
0.000 3.701 1.624 Si
3.205 1.850 7.356 Si
0.000 0.000 4.490 Ni
-1.602 2.775 0.000 Pt
0.000 1.618 2.607 Pt
-1.804 4.742 2.607 Pt
1.401 0.809 6.373 Pt
3.205 0.000 0.000 Pt
1.602 2.775 0.000 Pt
1.804 4.742 2.607 Pt
5.008 0.809 6.373 Pt
3.205 3.933 6.373 Pt
```

## Properties
density	13.262	g cm⁻³
E_form (uncorrected)	-11.2	eV/f.u.
E_tot	-6.298	eV/atom
symmetry	No. 164


No. 2
A geometry-optimized Ni2SbRu structure, computed with PBE-GGA.

```
Ni2SbRu
1.0
1.457 0.841 8.092
-1.457 0.841 8.092
0.000 -1.683 8.092
Ni Sb Ru
2 1 1
Cartesian
0.000 0.000 6.022 Ni
0.000 0.000 18.254 Ni
0.000 0.000 0.000 Sb
0.000 0.000 12.138 Ru
```

## Properties
density	9.490	g cm⁻³
E_form (uncorrected)	1.7	eV/f.u.
E_tot	-5.811	eV/atom
symmetry	No. 166